In2SeCl: optimized geometry, PBE.

abc: 5.2366 5.2366 3.7327
angles: 90.00 90.00 90.02
Closest atoms and distances in Å follow each position.
Fractional positions:
Cl 0.0000 0.5000 0.5000  8 In 3.22
In 0.0000 0.0000 0.0000  4 Cl 3.22, 4 Se 3.22
In 0.5000 0.5000 0.0000  4 Se 3.22, 4 Cl 3.22
Se 0.5000 0.0000 0.5000  8 In 3.22

Values from the calculation:
The calculation puts the distance to the lowest polymorph of the same formula at 144 meV per atom. The calculated volume is 102.4 Å³/cell. The formation energy from raw total energies comes out at -160 kJ/mol of formula units.